(1)
A plane-wave DFT calculation with PBE-GGA was carried out for Ca2NiHg2 after structural relaxation.

Summary:
Its total magnetization is 0.00 μB/atom. The total energy comes out at -2.270 eV per atom. The energy of formation from the pure elements is -0.1925 eV/atom.

Cell and atoms, written as CIF:
```
data_Ca2NiHg2
_chemical_formula_sum 'Ca4 Ni2 Hg4'
_space_group_name_H-M_alt 'P 4/m b m'
_space_group_IT_number 127
_space_group_name_Hall '-P 4 2ab'
_cell_length_a 7.327
_cell_length_b 7.327
_cell_length_c 4.659
_cell_angle_alpha 90.00
_cell_angle_beta 90.00
_cell_angle_gamma 90.00
loop_
_atom_site_label
_atom_site_fract_x
_atom_site_fract_y
_atom_site_fract_z
Ca1 0.173 0.327 0.000
Ni1 0.000 0.000 0.500
Hg1 0.144 0.644 0.500
```

---

(2)
A plane-wave DFT calculation with PBE-GGA was carried out for Dy4Ho3Th2 after structural relaxation.

Summary:
Its total magnetization is 0.00 μB/atom. The total energy comes out at -5.223 eV per atom. The value obtained for the distance to the lowest polymorph of the same formula is 0.000 eV/atom. The energy of formation from the pure elements is -0.0031 eV/atom.

Cell and atoms, written as CIF:
```
data_Dy4Ho3Th2
_chemical_formula_sum 'Dy8 Ho6 Th4'
_space_group_name_H-M_alt 'C 1 2/m 1'
_space_group_IT_number 12
_cell_length_a 18.564
_cell_length_b 3.581
_cell_length_c 9.479
_cell_angle_alpha 90.00
_cell_angle_beta 115.72
_cell_angle_gamma 90.00
loop_
_space_group_symop_operation_xyz
'x,y,z'
'-x,-y,-z'
'-x,y,-z'
'x,-y,z'
'x+1/2,y+1/2,z'
'-x+1/2,-y+1/2,-z'
'-x+1/2,y+1/2,-z'
'x+1/2,-y+1/2,z'
loop_
_atom_site_label
_atom_site_fract_x
_atom_site_fract_y
_atom_site_fract_z
Dy1 0.018 0.000 0.333
Dy2 0.185 0.500 0.330
Ho1 0.000 0.500 0.000
Ho2 0.149 0.500 0.671
Th1 0.168 0.000 0.000
```